HoB2Os | meta-GGA SCAN | single point on PBEsol structure

For the calculated total energy, the calculation gives -34.603 eV/atom. The total magnetization comes out at 0.0000 μB/atom. For the formation energy, the calculation gives -0.6716 eV/atom.

Cell lengths 5.823, 5.266, 6.307 Å; angles 90.00, 90.00, 90.00 degrees
Space group Pnma (No. 62)
Inequivalent atoms, fractional coordinates:
Ho 0.009 0.250 0.165
B 0.139 0.581 0.461
Os 0.177 0.250 0.681

=====

TaF5 | meta-GGA SCAN | single point on PBEsol structure

For the calculated total energy, the calculation gives -17.303 eV/atom. Its distance to the lowest polymorph of the same formula is 74.8 meV per atom. The uncorrected formation energy is -19.53 eV per formula unit. The total magnetization comes out at 0.0003 μB/atom.

Cell lengths 5.280, 9.692, 8.037 Å; angles 90.00, 112.53, 90.00 degrees
Space group P2_1/c (No. 14)
Inequivalent atoms, fractional coordinates:
Ta 0.079 0.245 0.369
F 0.064 0.215 0.114
F 0.088 0.581 0.674
F 0.252 0.650 0.234
F 0.257 0.089 0.497
F 0.417 0.180 0.892

=====

InFeI3 | meta-GGA SCAN | single point on PBEsol structure

For the calculated total energy, the calculation gives -32.459 eV/atom. The uncorrected formation energy is -0.56 eV per formula unit. The total magnetization comes out at 0.7967 μB/atom.

Cell lengths 5.409, 5.409, 5.409 Å; angles 90.00, 90.00, 90.00 degrees
Space group Pm-3m (No. 221)
Inequivalent atoms, fractional coordinates:
In 0.000 0.000 0.000
Fe 0.500 0.500 0.500
I 0.000 0.500 0.500

=====

OsW2Au | meta-GGA SCAN | single point on PBEsol structure

For the calculated total energy, the calculation gives -69.924 eV/atom. Its distance to the lowest polymorph of the same formula is 0.0 meV per atom. The total magnetization comes out at 0.0000 μB/atom. For the formation energy, the calculation gives 0.1797 eV/atom.

Cell lengths 2.783, 2.783, 7.986 Å; angles 90.00, 90.00, 90.00 degrees
Space group P4/mmm (No. 123)
Inequivalent atoms, fractional coordinates:
Os 0.000 0.000 0.000
W 0.500 0.500 0.234
Au 0.000 0.000 0.500

=====

YAs2Os | meta-GGA SCAN | single point on PBEsol structure

For the calculated total energy, the calculation gives -35.431 eV/atom. Its distance to the lowest polymorph of the same formula is 0.0 meV per atom. The total magnetization comes out at 0.0000 μB/atom. For the formation energy, the calculation gives -0.4049 eV/atom.

Cell lengths 4.358, 4.330, 4.712 Å; angles 90.00, 105.17, 90.00 degrees
Space group Pm (No. 6)
Inequivalent atoms, fractional coordinates:
Y 0.000 0.000 0.000
As 0.347 0.000 0.586
As 0.594 0.500 0.330
Os 0.514 0.500 0.825

=====

LiS2O | meta-GGA SCAN | single point on PBEsol structure

For the calculated total energy, the calculation gives -6.248 eV/atom. The uncorrected formation energy is 2.88 eV per formula unit. The total magnetization comes out at 0.0000 μB/atom.

Cell lengths 2.8877, 2.8877, 22.8843 Å; angles 90.00, 90.00, 120.00 degrees
Space group R-3m (No. 166, hexagonal axes)
Inequivalent atoms, fractional coordinates:
Li 0.0000 0.0000 0.0000
S 0.0000 0.0000 0.0996
O 0.0000 0.0000 0.5000

=====

TaCrCo2 | meta-GGA SCAN | single point on PBEsol structure

For the calculated total energy, the calculation gives -29.743 eV/atom. Its distance to the lowest polymorph of the same formula is 48.6 meV per atom. The total magnetization comes out at 0.0000 μB/atom. For the formation energy, the calculation gives 0.1508 eV/atom.

Cell lengths 2.629, 2.629, 6.975 Å; angles 90.00, 90.00, 90.00 degrees
Space group P4/mmm (No. 123)
Inequivalent atoms, fractional coordinates:
Ta 0.000 0.000 0.000
Cr 0.000 0.000 0.500
Co 0.500 0.500 0.276

=====

Sr2Cu3 | meta-GGA SCAN | single point on PBEsol structure

For the calculated total energy, the calculation gives -17.981 eV/atom. The total magnetization comes out at 0.0000 μB/atom. For the formation energy, the calculation gives 0.0488 eV/atom.

Cell lengths 4.2672, 4.2672, 22.9959 Å; angles 90.00, 90.00, 120.00 degrees
Space group R-3m (No. 166, hexagonal axes)
Inequivalent atoms, fractional coordinates:
Sr 0.0000 0.0000 0.0866
Cu 0.0000 0.0000 0.3344
Cu 0.0000 0.0000 0.5000

=====

Ta2CoW | meta-GGA SCAN | single point on PBEsol structure

For the calculated total energy, the calculation gives -55.010 eV/atom. Its distance to the lowest polymorph of the same formula is 0.0 meV per atom. The total magnetization comes out at 0.0003 μB/atom. For the formation energy, the calculation gives 0.0298 eV/atom.

Cell lengths 3.355, 4.346, 8.308 Å; angles 90.00, 90.00, 90.00 degrees
Space group Cmmm (No. 65)
Inequivalent atoms, fractional coordinates:
Ta 0.000 0.000 0.226
Co 0.000 0.500 0.000
W 0.000 0.500 0.500

=====

AlInGe3 | meta-GGA SCAN | single point on PBEsol structure

For the calculated total energy, the calculation gives -18.564 eV/atom. Its distance to the lowest polymorph of the same formula is 532.8 meV per atom. The total magnetization comes out at 0.0000 μB/atom. For the formation energy, the calculation gives 1.1167 eV/atom.

Cell lengths 5.131, 5.131, 5.131 Å; angles 90.00, 90.00, 90.00 degrees
Space group Pm-3m (No. 221)
Inequivalent atoms, fractional coordinates:
Al 0.000 0.000 0.000
In 0.500 0.500 0.500
Ge 0.000 0.500 0.500

=====

MnP2Pb | meta-GGA SCAN | single point on PBEsol structure

For the calculated total energy, the calculation gives -28.728 eV/atom. The total magnetization comes out at 0.3031 μB/atom. For the formation energy, the calculation gives -0.0195 eV/atom.

Cell lengths 7.669, 3.130, 6.153 Å; angles 90.00, 104.30, 90.00 degrees
Space group Cm (No. 8)
Inequivalent atoms, fractional coordinates:
Mn 0.000 0.000 0.000
P 0.051 0.500 0.264
P 0.205 0.500 0.981
Pb 0.356 0.000 0.598

=====

YZr2Zn | meta-GGA SCAN | single point on PBEsol structure

For the calculated total energy, the calculation gives -25.723 eV/atom. The total magnetization comes out at 0.0000 μB/atom. For the formation energy, the calculation gives -0.0342 eV/atom.

Cell lengths 4.653, 3.252, 11.800 Å; angles 90.00, 90.00, 90.00 degrees
Space group Amm2 (No. 38)
Inequivalent atoms, fractional coordinates:
Y 0.000 0.000 0.000
Zr 0.000 0.000 0.264
Zr 0.500 0.000 0.677
Zn 0.500 0.000 0.402

=====

Number 9 is which compound? Ta2CoW

=====

The lowest calculated total energy belongs to which entry? OsW2Au